# KY3

An optimized crystal structure of KY3 (PBE-GGA, Alexandria).

## Properties
* electronic total energy: -18.7 eV/f.u.
* formation energy: 436.8 meV per atom
* SG: Immm, No. 71

Cell lengths 3.7517, 6.2692, 12.4044 Å; angles 90.00, 90.00, 90.00 degrees
With the nearest neighbours (Å) after each atom.
Fractional positions:
K 0.0000 0.0000 0.0000  8 Y 3.65-3.77, 2 K 3.75
K 0.5000 0.5000 0.5000  8 Y 3.65-3.77, 2 K 3.75
Y 0.0000 0.0000 0.5000  6 Y 3.48-3.75, 4 K 3.65
Y 0.0000 0.5000 0.2367  8 Y 3.48-3.75, 2 K 3.77
Y 0.0000 0.5000 0.7633  8 Y 3.48-3.75, 2 K 3.77
Y 0.5000 0.0000 0.2633  8 Y 3.48-3.75, 2 K 3.77
Y 0.5000 0.0000 0.7367  8 Y 3.48-3.75, 2 K 3.77
Y 0.5000 0.5000 0.0000  6 Y 3.48-3.75, 4 K 3.65